Tl2Cr2IrO6: optimized geometry, GGA+U.

Unit cell a=5.3489 b=5.3489 c=6.7306 alpha=97.35 beta=97.35 gamma=120.11
Sites, in units of the cell vectors:
Tl (0.1661, 0.8339, 0.0000)
Tl (0.8339, 0.1661, 0.0000)
Cr (0.3342, 0.6658, 0.5000)
Cr (0.6658, 0.3342, 0.5000)
Ir (0.0000, 0.0000, 0.5000)
O (0.0474, 0.3846, 0.6553)
O (0.2833, 0.2833, 0.3433)
O (0.3846, 0.0474, 0.6553)
O (0.6154, 0.9526, 0.3447)
O (0.7167, 0.7167, 0.6567)
O (0.9526, 0.6154, 0.3447)

Results
DOS(E_F) in states/eV per atom: 0.61
Magnetic moment in μB per formula unit: 4.96
Space-group type: No. 12
Total DFT energy (no corrections) in eV/atom: -6.503